(1)
The following is a PBE calculation of an optimized crystal structure of PrUAs2, from Alexandria.

Cell lengths 4.1527, 4.1527, 20.9325 Å; angles 90.00, 90.00, 120.00 degrees
Last column: nearest neighbours and their distance in Å.
Space group R-3m (No. 166, hexagonal axes)
Inequivalent atoms, fractional coordinates:
Pr: 0.0000 0.0000 0.0000 [3 per cell]  6 As 3.03
U: 0.0000 0.0000 0.5000 [3 per cell]  6 As 2.90
As: 0.0000 0.0000 0.2448 [6 per cell]  3 U 2.90, 3 Pr 3.03

Values from the calculation:
The energy above the most stable polymorph in this dataset comes out at 0 meV/atom. For the density of states at the Fermi level, the calculation gives 1.131 states/eV/atom. For the formation energy from the elements, the calculation gives -1.114 eV per atom.

(2)
The following is a PBE calculation of an optimized crystal structure of K2ZrMn, from Alexandria.

Cell lengths 5.6196, 5.6196, 7.9670 Å; angles 90.00, 90.00, 90.00 degrees
Last column: nearest neighbours and their distance in Å.
Space group I-4m2 (No. 119)
Inequivalent atoms, fractional coordinates:
K: 0.0000 0.0000 0.0000 [2 per cell]  4 Mn 3.44, 4 K 3.44
K: 0.0000 0.5000 0.2500 [2 per cell]  4 Zr 3.44, 4 K 3.44
Zr: 0.0000 0.0000 0.5000 [2 per cell]  4 Mn 3.44, 4 K 3.44
Mn: 0.0000 0.5000 0.7500 [2 per cell]  4 Zr 3.44, 4 K 3.44

Values from the calculation:
The energy above the most stable polymorph in this dataset comes out at 602 meV/atom. For the density of states at the Fermi level, the calculation gives 1.741 states/eV/atom. For the formation energy from the elements, the calculation gives 1.167 eV per atom.

(3)
The following is a PBE calculation of an optimized crystal structure of LaH2RhS, from Alexandria.

Cell lengths 3.9188, 3.9188, 4.6909 Å; angles 90.00, 90.00, 90.00 degrees
Last column: nearest neighbours and their distance in Å.
Space group P4/mmm (No. 123)
Inequivalent atoms, fractional coordinates:
La: 0.0000 0.0000 0.0000 [1 per cell]  4 S 2.77, 8 H 3.06
H: 0.0000 0.5000 0.5000 [2 per cell]  2 Rh 1.96
Rh: 0.5000 0.5000 0.5000 [1 per cell]  4 H 1.96
S: 0.5000 0.5000 0.0000 [1 per cell]  2 Rh 2.35

Values from the calculation:
For the density of states at the Fermi level, the calculation gives 0.326 states/eV/atom. The value obtained for the total DFT energy (no corrections) is -5.4361 eV/atom.

(4)
The following is a PBE calculation of an optimized crystal structure of Th4Bi2TeC, from Alexandria.

Cell lengths 7.7855, 4.0845, 7.8376 Å; angles 90.00, 106.64, 90.00 degrees
Last column: nearest neighbours and their distance in Å.
Space group P2/m (No. 10)
Inequivalent atoms, fractional coordinates:
Th: 0.1906 0.0000 0.1939 [2 per cell]  2 C 2.72
Th: 0.2069 0.5000 0.7874 [2 per cell]  1 C 2.63
Bi: 0.5000 0.0000 0.0000 [1 per cell]  6 Th 3.16-3.20
Bi: 0.5000 0.5000 0.5000 [1 per cell]  6 Th 3.52-3.64
Te: 0.0000 0.0000 0.5000 [1 per cell]  6 Th 3.12-3.16
C: 0.0000 0.5000 0.0000 [1 per cell]  6 Th 2.63-2.72

Values from the calculation:
The formation energy without anion corrections is -438.9 kJ/mol of formula units. For the density of states at the Fermi level, the calculation gives 0.473 states/eV/atom.

(5)
The following is a PBE calculation of an optimized crystal structure of CsAcTe2, from Alexandria.

Cell lengths 4.1940, 4.1940, 9.1597 Å; angles 90.00, 90.00, 90.00 degrees
Last column: nearest neighbours and their distance in Å.
Space group P4/mmm (No. 123)
Inequivalent atoms, fractional coordinates:
Cs: 0.0000 0.0000 0.0000 [1 per cell]  8 Te 4.00, 4 Cs 4.19
Ac: 0.0000 0.0000 0.5000 [1 per cell]  8 Te 3.52
Te: 0.5000 0.5000 0.2930 [2 per cell]  4 Ac 3.52, 1 Te 3.79

Values from the calculation:
The formation energy without anion corrections is -526.5 kJ/mol of formula units. The energy above the most stable polymorph in this dataset comes out at 141 meV/atom. For the density of states at the Fermi level, the calculation gives 0.111 states/eV/atom.

(6)
The following is a PBE calculation of an optimized crystal structure of SrCoSbI2, from Alexandria.

Cell lengths 5.5175, 5.5175, 4.9652 Å; angles 90.00, 90.00, 90.00 degrees
Last column: nearest neighbours and their distance in Å.
Space group P4/mmm (No. 123)
Inequivalent atoms, fractional coordinates:
Sr: 0.0000 0.0000 0.0000 [1 per cell]  8 I 3.71, 4 Sb 3.90
Co: 0.5000 0.5000 0.5000 [1 per cell]  2 Sb 2.48, 4 I 2.76
Sb: 0.5000 0.5000 0.0000 [1 per cell]  2 Co 2.48
I: 0.0000 0.5000 0.5000 [2 per cell]  2 Co 2.76

Values from the calculation:
The formation energy without anion corrections is -140.2 kJ/mol of formula units. The energy above the most stable polymorph in this dataset comes out at 0 meV/atom. For the density of states at the Fermi level, the calculation gives 0.888 states/eV/atom.

(7)
The following is a PBE calculation of an optimized crystal structure of MnMo2Au, from Alexandria.

Cell lengths 3.4212, 4.1736, 8.5549 Å; angles 90.00, 90.00, 90.00 degrees
Last column: nearest neighbours and their distance in Å.
Space group Cmmm (No. 65)
Inequivalent atoms, fractional coordinates:
Mn: 0.0000 0.0000 0.0000 [2 per cell]  8 Mo 2.59-2.85, 4 Mn 2.70
Mo: 0.0000 0.5000 0.2270 [4 per cell]  4 Mn 2.59-2.85, 4 Mo 2.70, 2 Au 2.89
Au: 0.0000 0.0000 0.5000 [2 per cell]  4 Au 2.70, 4 Mo 2.89

Values from the calculation:
The energy above the most stable polymorph in this dataset comes out at 40 meV/atom. For the density of states at the Fermi level, the calculation gives 0.751 states/eV/atom. For the formation energy from the elements, the calculation gives 0.206 eV per atom.

(8)
The following is a PBE calculation of an optimized crystal structure of Re2AgW, from Alexandria.

Cell lengths 2.7914, 4.0470, 5.6504 Å; angles 90.00, 90.00, 90.00 degrees
Last column: nearest neighbours and their distance in Å.
Space group Pmmm (No. 47)
Inequivalent atoms, fractional coordinates:
Re: 0.0000 0.0000 0.2271 [2 per cell]  3 Re 2.57-2.79, 4 W 2.77
Ag: 0.5000 0.5000 0.5000 [1 per cell]  2 Ag 2.79, 2 W 2.83, 8 Re 2.90
W: 0.5000 0.5000 0.0000 [1 per cell]  8 Re 2.77, 2 W 2.79, 2 Ag 2.83

Values from the calculation:
The energy above the most stable polymorph in this dataset comes out at 183 meV/atom. For the density of states at the Fermi level, the calculation gives 0.660 states/eV/atom. For the formation energy from the elements, the calculation gives 0.493 eV per atom.

(9)
The following is a PBE calculation of an optimized crystal structure of NbCu, from Alexandria.

Cell lengths 5.5951, 5.5951, 5.5951 Å; angles 90.00, 90.00, 90.00 degrees
Last column: nearest neighbours and their distance in Å.
Space group F-43m (No. 216)
Inequivalent atoms, fractional coordinates:
Nb: 0.0000 0.0000 0.0000 [4 per cell]  4 Cu 2.42
Cu: 0.2500 0.2500 0.2500 [4 per cell]  4 Nb 2.42

Values from the calculation:
For the density of states at the Fermi level, the calculation gives 2.113 states/eV/atom. For the formation energy from the elements, the calculation gives 1.613 eV per atom.

(10)
The following is a PBE calculation of an optimized crystal structure of KMnMo2, from Alexandria.

Cell lengths 6.6526, 6.6526, 6.6526 Å; angles 90.00, 90.00, 90.00 degrees
Last column: nearest neighbours and their distance in Å.
Space group F-43m (No. 216)
Inequivalent atoms, fractional coordinates:
K: 0.0000 0.0000 0.0000 [4 per cell]  4 Mn 2.88, 4 Mo 2.88
Mn: 0.2500 0.2500 0.2500 [4 per cell]  4 Mo 2.88, 4 K 2.88
Mo: 0.0000 0.0000 0.5000 [4 per cell]  4 Mn 2.88, 4 Mo 2.88
Mo: 0.2500 0.2500 0.7500 [4 per cell]  4 Mo 2.88, 4 K 2.88

Values from the calculation:
The energy above the most stable polymorph in this dataset comes out at 689 meV/atom. For the density of states at the Fermi level, the calculation gives 0.947 states/eV/atom. For the formation energy from the elements, the calculation gives 1.442 eV per atom.

(11)
The following is a PBE calculation of an optimized crystal structure of Cr3CdCu, from Alexandria.

Cell lengths 4.6924, 4.6924, 4.6924 Å; angles 90.00, 90.00, 90.00 degrees
Last column: nearest neighbours and their distance in Å.
Space group Pm-3m (No. 221)
Inequivalent atoms, fractional coordinates:
Cr: 0.0000 0.0000 0.5000 [3 per cell]  2 Cu 2.35
Cd: 0.5000 0.5000 0.5000 [1 per cell]  12 Cr 3.32
Cu: 0.0000 0.0000 0.0000 [1 per cell]  6 Cr 2.35

Values from the calculation:
The energy above the most stable polymorph in this dataset comes out at 0 meV/atom. For the density of states at the Fermi level, the calculation gives 0.636 states/eV/atom. For the formation energy from the elements, the calculation gives 1.154 eV per atom.

(12)
The following is a PBE calculation of an optimized crystal structure of Sc3Se, from Alexandria.

Cell lengths 3.6445, 4.3318, 5.8498 Å; angles 90.00, 103.67, 90.00 degrees
Last column: nearest neighbours and their distance in Å.
Space group P2/m (No. 10)
Inequivalent atoms, fractional coordinates:
Sc: 0.0000 0.0000 0.0000 [1 per cell]  2 Se 2.92, 4 Sc 3.16
Sc: 0.3684 0.5000 0.7311 [2 per cell]  2 Se 2.73
Se: 0.0000 0.0000 0.5000 [1 per cell]  6 Sc 2.73-2.92

Values from the calculation:
The formation energy without anion corrections is -210.1 kJ/mol of formula units. The energy above the most stable polymorph in this dataset comes out at 258 meV/atom. For the density of states at the Fermi level, the calculation gives 1.186 states/eV/atom.